1.
# PBE-GGA HfAg3F9, relaxed
data_HfAg3F9
_symmetry_space_group_name_H-M 'P 1'
_symmetry_Int_Tables_number 1
_cell_length_a 6.2057
_cell_length_b 8.5984
_cell_length_c 10.3429
_cell_angle_alpha 76.98
_cell_angle_beta 72.54
_cell_angle_gamma 68.85
loop_
_symmetry_equiv_pos_as_xyz
'x,y,z'
loop_
_atom_site_label
_atom_site_fract_x
_atom_site_fract_y
_atom_site_fract_z
F1 0.0665 0.4312 0.1396
F2 0.7444 0.7374 0.0856
F3 0.0935 0.9501 0.9340
F4 0.1912 0.8311 0.2341
F5 0.7845 0.1353 0.3247
F6 0.6290 0.0309 0.8597
F7 0.7436 0.3311 0.7341
F8 0.5967 0.4512 0.0781
F9 0.8740 0.9512 0.5781
F10 0.4326 0.2374 0.5856
F11 0.7555 0.6353 0.8247
F12 0.4804 0.5309 0.3597
F13 0.0224 0.4501 0.4340
F14 0.1860 0.5587 0.8655
F15 0.3898 0.0587 0.3655
F16 0.0388 0.2889 0.9489
F17 0.7234 0.7889 0.4489
F18 0.3628 0.9312 0.6396
Ag1 0.4175 0.2868 0.8391
Ag2 0.4565 0.7868 0.3391
Ag3 0.9933 0.9696 0.7557
Ag4 0.8362 0.5485 0.6183
Ag5 0.9970 0.0485 0.1183
Ag6 0.2813 0.4696 0.2557
Hf1 0.8754 0.5378 0.9944
Hf2 0.5924 0.0378 0.4944
# ΔE_f (raw): -201.77 kJ/mol of atoms
# Symmetry: No. 9
# M_tot: 0.02 μB per formula unit

2.
# PBE-GGA HfInAgF2, relaxed
data_HfInAgF2
_symmetry_space_group_name_H-M 'P 1'
_symmetry_Int_Tables_number 1
_cell_length_a 4.2398
_cell_length_b 6.2445
_cell_length_c 4.2398
_cell_angle_alpha 90.00
_cell_angle_beta 90.00
_cell_angle_gamma 90.00
loop_
_symmetry_equiv_pos_as_xyz
'x,y,z'
loop_
_atom_site_label
_atom_site_fract_x
_atom_site_fract_y
_atom_site_fract_z
F1 0.0000 0.0000 0.5000
F2 0.5000 0.0000 0.0000
Ag1 0.5000 0.5000 0.5000
In1 0.0000 0.0000 0.0000
Hf1 0.0000 0.5000 0.0000
# ΔE_f (raw): -52.98 kJ/mol of atoms
# Symmetry: No. 123
# M_tot: 0.00 μB per formula unit

no.,DOS(E_F) (states/eV/f.u.)
1,1.11
2,2.84